Record 1
First-principles (PBE) data for crystalline LaErIn at its relaxed geometry, as listed in Alexandria.

Values from the calculation:
- total magnetization (μB per formula unit) = 0.00
- calculated formation energy (eV per atom) = -0.34
- DFT total energy (eV/atom) = -4.415

Structure (CIF):
```
data_LaErIn
_chemical_formula_sum 'La2 Er2 In2'
_space_group_name_H-M_alt 'P 63/m m c'
_space_group_IT_number 194
_space_group_name_Hall '-P 6c 2c'
_cell_length_a 5.5061
_cell_length_b 5.5061
_cell_length_c 6.8452
_cell_angle_alpha 90.00
_cell_angle_beta 90.00
_cell_angle_gamma 120.00
loop_
_atom_site_label
_atom_site_type_symbol
_atom_site_fract_x
_atom_site_fract_y
_atom_site_fract_z
La1 La 0.0000 0.0000 0.0000
Er1 Er 0.3333 0.6667 0.2500
In1 In 0.3333 0.6667 0.7500
```



Record 2
First-principles (PBE) data for crystalline YRuPt2 at its relaxed geometry, as listed in Alexandria.

Values from the calculation:
- total magnetization (μB per formula unit) = 0.00
- calculated formation energy (eV per atom) = -0.44
- DFT total energy (eV/atom) = -7.399

Structure (CIF):
```
data_YRuPt2
_chemical_formula_sum 'Y1 Ru1 Pt2'
_space_group_name_H-M_alt 'P m m 2'
_space_group_IT_number 25
_space_group_name_Hall 'P 2 -2'
_cell_length_a 3.012
_cell_length_b 4.636
_cell_length_c 5.022
_cell_angle_alpha 90.00
_cell_angle_beta 90.00
_cell_angle_gamma 90.00
loop_
_atom_site_label
_atom_site_type_symbol
_atom_site_fract_x
_atom_site_fract_y
_atom_site_fract_z
Y1 Y 0.000 0.000 0.000
Ru1 Ru 0.000 0.500 0.386
Pt1 Pt 0.500 0.000 0.487
Pt2 Pt 0.500 0.500 0.837
```



Record 3
First-principles (PBE) data for crystalline V2MoCl at its relaxed geometry, as listed in Alexandria.

Values from the calculation:
- total magnetization (μB per formula unit) = 0.00
- E_form (uncorrected) (kJ per mole of atoms) = 61.9
- DFT total energy (eV/atom) = -7.088

Structure (CIF):
```
data_V2MoCl
_chemical_formula_sum 'V8 Mo4 Cl4'
_space_group_name_H-M_alt 'I -4 2 d'
_space_group_IT_number 122
_space_group_name_Hall 'I -4 2bw'
_cell_length_a 6.688
_cell_length_b 6.688
_cell_length_c 5.305
_cell_angle_alpha 90.00
_cell_angle_beta 90.00
_cell_angle_gamma 90.00
loop_
_atom_site_label
_atom_site_type_symbol
_atom_site_fract_x
_atom_site_fract_y
_atom_site_fract_z
V1 V 0.200 0.250 0.125
Mo1 Mo 0.000 0.000 0.500
Cl1 Cl 0.000 0.000 0.000
```



Record 4
First-principles (PBE) data for crystalline TaBe2Hg at its relaxed geometry, as listed in Alexandria.

Values from the calculation:
- total magnetization (μB per formula unit) = 0.00
- calculated formation energy (eV per atom) = 0.24
- DFT total energy (eV/atom) = -4.658

Structure (CIF):
```
data_TaBe2Hg
_chemical_formula_sum 'Ta1 Be2 Hg1'
_space_group_name_H-M_alt 'P 4/m m m'
_space_group_IT_number 123
_space_group_name_Hall '-P 4 2'
_cell_length_a 4.062
_cell_length_b 4.062
_cell_length_c 3.403
_cell_angle_alpha 90.00
_cell_angle_beta 90.00
_cell_angle_gamma 90.00
loop_
_atom_site_label
_atom_site_type_symbol
_atom_site_fract_x
_atom_site_fract_y
_atom_site_fract_z
Ta1 Ta 0.000 0.000 0.000
Be1 Be 0.000 0.500 0.500
Hg1 Hg 0.500 0.500 0.000
```



Record 5
First-principles (PBE) data for crystalline Cs5KH2 at its relaxed geometry, as listed in Alexandria.

Values from the calculation:
- total magnetization (μB per formula unit) = 0.00
- DFT total energy (eV/atom) = -1.531

Structure (CIF):
```
data_Cs5KH2
_chemical_formula_sum 'Cs20 K4 H8'
_space_group_name_H-M_alt 'C m c m'
_space_group_IT_number 63
_space_group_name_Hall '-C 2c 2'
_cell_length_a 4.916
_cell_length_b 19.352
_cell_length_c 24.964
_cell_angle_alpha 90.00
_cell_angle_beta 90.00
_cell_angle_gamma 90.00
loop_
_atom_site_label
_atom_site_type_symbol
_atom_site_fract_x
_atom_site_fract_y
_atom_site_fract_z
Cs1 Cs 0.000 0.075 0.071
Cs2 Cs 0.000 0.306 0.750
Cs3 Cs 0.000 0.354 0.091
K1 K 0.000 0.040 0.750
H1 H 0.000 0.076 0.549
```



Record 6
First-principles (PBE) data for crystalline LaCeAu2 at its relaxed geometry, as listed in Alexandria.

Values from the calculation:
- total magnetization (μB per formula unit) = 1.12
- calculated formation energy (eV per atom) = -0.68
- DFT total energy (eV/atom) = -5.037

Structure (CIF):
```
data_LaCeAu2
_chemical_formula_sum 'La1 Ce1 Au2'
_space_group_name_H-M_alt 'P 4/m m m'
_space_group_IT_number 123
_space_group_name_Hall '-P 4 2'
_cell_length_a 3.734
_cell_length_b 3.734
_cell_length_c 7.505
_cell_angle_alpha 90.00
_cell_angle_beta 90.00
_cell_angle_gamma 90.00
loop_
_atom_site_label
_atom_site_type_symbol
_atom_site_fract_x
_atom_site_fract_y
_atom_site_fract_z
La1 La 0.000 0.000 0.000
Ce1 Ce 0.000 0.000 0.500
Au1 Au 0.500 0.500 0.260
```



Record 7
First-principles (PBE) data for crystalline Li2POs at its relaxed geometry, as listed in Alexandria.

Values from the calculation:
- total magnetization (μB per formula unit) = 0.00
- calculated formation energy (eV per atom) = -0.07
- DFT total energy (eV/atom) = -5.187

Structure (CIF):
```
data_Li2POs
_chemical_formula_sum 'Li2 P1 Os1'
_space_group_name_H-M_alt 'P m m m'
_space_group_IT_number 47
_space_group_name_Hall '-P 2 2'
_cell_length_a 2.832
_cell_length_b 4.186
_cell_length_c 4.571
_cell_angle_alpha 90.00
_cell_angle_beta 90.00
_cell_angle_gamma 90.00
loop_
_atom_site_label
_atom_site_type_symbol
_atom_site_fract_x
_atom_site_fract_y
_atom_site_fract_z
Li1 Li 0.000 0.000 0.244
P1 P 0.500 0.500 0.500
Os1 Os 0.500 0.500 0.000
```



Record 8
First-principles (PBE) data for crystalline CoIrSe2 at its relaxed geometry, as listed in Alexandria.

Values from the calculation:
- total magnetization (μB per formula unit) = 2.02
- E_form (uncorrected) (kJ per mole of atoms) = 76.6
- DFT total energy (eV/atom) = -4.940

Structure (CIF):
```
data_CoIrSe2
_chemical_formula_sum 'Co4 Ir4 Se8'
_space_group_name_H-M_alt 'F -4 3 m'
_space_group_IT_number 216
_space_group_name_Hall 'F -4 2 3'
_cell_length_a 6.355
_cell_length_b 6.355
_cell_length_c 6.355
_cell_angle_alpha 90.00
_cell_angle_beta 90.00
_cell_angle_gamma 90.00
loop_
_atom_site_label
_atom_site_type_symbol
_atom_site_fract_x
_atom_site_fract_y
_atom_site_fract_z
Co1 Co 0.000 0.000 0.000
Ir1 Ir 0.250 0.250 0.250
Se1 Se 0.000 0.000 0.500
Se2 Se 0.250 0.250 0.750
```